(1)
A plane-wave DFT calculation with meta-GGA SCAN was carried out for Pt3Se at its PBEsol-relaxed geometry.

```
Pt3Se
1.0
2.8281 0.0000 0.0000
0.0000 3.3870 0.0000
0.0000 0.0000 6.5294
Pt Se
3 1
Direct
0.0000 0.0000 0.0000
0.5000 0.5000 0.2554
0.5000 0.5000 0.7446
0.0000 0.0000 0.5000
```

Properties
**Formation energy (no corrections)**: 21.2 kJ per mole of atoms
**Space-group type**: Pmmm (47)
**M_tot**: 0.000 μB/cell
**Theoretical density**: 17.63 g cm⁻³
**Raw total energy**: -57.44 eV per atom



(2)
A plane-wave DFT calculation with meta-GGA SCAN was carried out for PtSe at its PBEsol-relaxed geometry.

```
PtSe
1.0
3.6188 0.0000 0.0000
-1.8094 3.1340 0.0000
0.0000 0.0000 7.2464
Pt Se
2 2
Direct
0.3333 0.6667 0.1239
0.6667 0.3333 0.8761
0.3333 0.6667 0.7039
0.6667 0.3333 0.2961
```

Properties
**Formation energy (no corrections)**: -12.2 kJ per mole of atoms
**Space-group type**: P-3m1 (164)
**M_tot**: 0.000 μB/cell
**Theoretical density**: 11.07 g cm⁻³
**Raw total energy**: -45.26 eV per atom



(3)
A plane-wave DFT calculation with meta-GGA SCAN was carried out for Pt5Se4 at its PBEsol-relaxed geometry.

```
Pt5Se4
1.0
6.5712 0.0000 0.0000
0.0000 4.6220 0.0000
-2.1917 0.0000 10.8696
Pt Se
10 8
Direct
0.0000 0.0000 0.0000
0.0000 0.5000 0.5000
0.2230 0.1631 0.6740
0.2230 0.3369 0.1740
0.3315 0.6669 0.0022
0.3315 0.8331 0.5022
0.6685 0.1669 0.4978
0.6685 0.3331 0.9978
0.7770 0.6631 0.8260
0.7770 0.8369 0.3260
0.0891 0.1359 0.3614
0.0891 0.3641 0.8614
0.4850 0.5379 0.3555
0.4850 0.9621 0.8556
0.5150 0.0379 0.1444
0.5150 0.4621 0.6444
0.9109 0.6359 0.1386
0.9109 0.8641 0.6386
```

Properties
**Formation energy (no corrections)**: -40.5 kJ per mole of atoms
**Space-group type**: P2_1/c (14)
**M_tot**: 0.000 μB/cell
**Theoretical density**: 12.99 g cm⁻³
**Raw total energy**: -48.34 eV per atom



(4)
A plane-wave DFT calculation with meta-GGA SCAN was carried out for PtSe2 at its PBEsol-relaxed geometry.

```
PtSe2
1.0
6.0773 -1.8242 0.0000
6.0773 1.8242 0.0000
-2.0091 0.0000 6.7343
Pt Se
2 4
Direct
0.0000 0.0000 0.0000
0.5750 0.5750 0.3011
0.2116 0.2116 0.3063
0.2746 0.2746 0.6688
0.4790 0.4790 0.7692
0.9464 0.9464 0.3302
```

Properties
**Formation energy (no corrections)**: -9.5 kJ per mole of atoms
**Space-group type**: Cm (8)
**M_tot**: 0.000 μB/cell
**Theoretical density**: 7.85 g cm⁻³
**Raw total energy**: -36.88 eV per atom



(5)
A plane-wave DFT calculation with meta-GGA SCAN was carried out for PtSe2 at its PBEsol-relaxed geometry.

```
PtSe2
1.0
-1.5354 1.5354 5.9226
1.5354 -1.5354 5.9226
1.5354 1.5354 -5.9226
Pt Se
1 2
Direct
0.0000 0.0000 0.0000
0.3618 0.3618 0.0000
0.6382 0.6382 0.0000
```

Properties
**Formation energy (no corrections)**: 37.1 kJ per mole of atoms
**Space-group type**: I4/mmm (139)
**M_tot**: 0.000 μB/cell
**Theoretical density**: 10.50 g cm⁻³
**Raw total energy**: -36.40 eV per atom



(6)
A plane-wave DFT calculation with meta-GGA SCAN was carried out for PtSe2 at its PBEsol-relaxed geometry.

```
PtSe2
1.0
1.8520 -6.0012 0.0000
1.8520 6.0012 0.0000
0.0000 0.0000 2.7763
Pt Se
1 2
Direct
0.0000 0.0000 0.0000
0.3651 0.6349 0.0000
0.6349 0.3651 0.0000
```

Properties
**Formation energy (no corrections)**: -32.5 kJ per mole of atoms
**Space-group type**: Cmmm (65)
**M_tot**: 0.000 μB/cell
**Theoretical density**: 9.50 g cm⁻³
**Raw total energy**: -37.12 eV per atom